No. 1
{
  "formula": "LaCoNi3",
  "functional": "PBE",
  "state": "optimized geometry",
  "cell": [[-0.121, 2.693, 3.759], [-4.478, 0.871, -0.768], [-1.155, -3.659, 2.584]],
  "species": ["Ni", "Ni", "Ni", "Co", "La"],
  "frac_coords": [[0.000, 0.500, 0.000], [0.000, 0.000, 0.500], [0.500, 0.000, 0.000], [0.500, 0.500, 0.500], [0.000, 0.000, 0.000]],
  "formation_enthalpy_0k_ev_per_atom": 1.69
}



No. 2
{
  "formula": "NaPHCl2",
  "functional": "PBE",
  "state": "optimized geometry",
  "cell": [[-3.404, -3.771, 0.507], [0.514, -1.129, -4.952], [2.446, -2.109, 0.735]],
  "species": ["P", "Na", "H", "Cl", "Cl"],
  "frac_coords": [[0.000, 0.000, 0.500], [0.500, 0.500, 0.500], [0.000, 0.000, 0.000], [0.000, 0.500, 0.000], [0.500, 0.000, 0.000]],
  "energy_ev_per_atom": -2.952
}



Number 2 is which compound? NaPHCl2



Please write out number 1 again, unchanged.
{
  "formula": "LaCoNi3",
  "functional": "PBE",
  "state": "optimized geometry",
  "cell": [[-0.121, 2.693, 3.759], [-4.478, 0.871, -0.768], [-1.155, -3.659, 2.584]],
  "species": ["Ni", "Ni", "Ni", "Co", "La"],
  "frac_coords": [[0.000, 0.500, 0.000], [0.000, 0.000, 0.500], [0.500, 0.000, 0.000], [0.500, 0.500, 0.500], [0.000, 0.000, 0.000]],
  "formation_enthalpy_0k_ev_per_atom": 1.69
}



Number 2 is which compound? NaPHCl2